(1)
MoPt3F meta-GGA SCAN single point on PBEsol structure; calculated volume = 15.51 Å³/atom; uncorrected energy = -244.24 eV/f.u.; crystal system = cubic; formation energy (no corrections) = 0.953 eV per atom
1.0
-2.7614 -3.1800 -0.6680
3.2219 -2.7933 -0.0212
-0.4218 -0.5184 4.2115
Mo F Pt
1 1 3
Cartesian
0.0194 -3.2459 1.7612
0.0000 0.0000 0.0000
-1.3807 -1.5900 -0.3340
-0.2109 -0.2592 2.1058
1.6109 -1.3967 -0.0106

***

(2)
ZrHgAu meta-GGA SCAN single point on PBEsol structure; calculated volume = 19.07 Å³/atom; energy of formation from the pure elements = -0.489 eV per atom; uncorrected energy = -169.49 eV/f.u.; crystal system = hexagonal
1.0
-2.4060 -0.8406 -1.4994
0.0772 -4.1744 2.2163
-2.4174 3.6150 1.8523
Hg Au Zr
1 1 1
Cartesian
-1.5859 1.0185 1.9737
0.0000 0.0000 0.0000
-1.9573 -1.9982 1.3453

***

(3)
Ba4Sn9Bi3 meta-GGA SCAN single point on PBEsol structure; calculated volume = 31.28 Å³/atom; energy of formation from the pure elements = -0.522 eV per atom; uncorrected energy = -725.58 eV/f.u.; crystal system = hexagonal
1.0
-5.4443 1.0931 -4.6276
6.2833 -2.6682 -2.3770
-7.3070 -20.5429 3.7442
Bi Ba Sn
6 8 18
Cartesian
-6.3756 -9.7249 -0.4417
3.1417 -1.3341 -1.1885
-0.5118 -11.6056 0.6836
0.4195 -0.7876 -3.5023
-2.7221 0.5465 -2.3138
-3.2340 -11.0590 -1.6302
-0.2952 -8.9192 -1.7594
-6.1727 -13.1989 -1.5010
0.0000 0.0000 0.0000
-1.8267 -5.1357 0.9360
-7.8579 -17.9369 -0.6375
1.3900 -4.1812 -2.6229
-3.6535 -10.2715 1.8721
-5.4802 -15.4072 2.8081
-0.5479 -14.7804 -0.4716
-2.1186 -17.4099 -1.6198
-1.7359 -5.8179 -2.6293
-4.3493 -4.7081 -1.6407
-4.0003 -5.3633 -4.5541
-4.6656 -19.4579 -1.4821
-2.3752 -19.9178 0.4647
-5.9200 -7.3377 -2.7888
-4.7321 -16.3002 -0.6311
-1.8024 -2.6601 -1.7784
-3.6297 -7.7975 -0.8420
-2.8382 -14.3205 -2.4184
-4.0927 -2.2003 -3.7251
-3.2767 -8.4601 -3.7888
-3.1912 -13.6579 0.5283
-2.4676 -16.7548 1.2937
-1.4494 -3.3228 -4.7251
-5.0185 -18.7953 1.4647

***

Q: What is the formula in the second record?
A: ZrHgAu

***

Q: The highest uncorrected energy belongs to which entry?
A: ZrHgAu